# HgSbICl2 (PBE-GGA, optimized geometry)
data_HgSbICl2
_chemical_formula_sum 'Hg1 Sb1 I1 Cl2'
_symmetry_space_group_name_H-M 'P 1'
_symmetry_Int_Tables_number 1
_cell_length_a 5.3655
_cell_length_b 5.3655
_cell_length_c 5.9873
_cell_angle_alpha 90.00
_cell_angle_beta 90.00
_cell_angle_gamma 90.00
loop_
_symmetry_equiv_pos_as_xyz
'x,y,z'
loop_
_atom_site_label
_atom_site_type_symbol
_atom_site_fract_x
_atom_site_fract_y
_atom_site_fract_z
Hg1 Hg 0.0000 0.0000 0.0000
Sb1 Sb 0.5000 0.5000 0.5000
I1 I 0.5000 0.5000 0.0000
Cl1 Cl 0.0000 0.5000 0.5000
Cl2 Cl 0.5000 0.0000 0.5000
# E_form (uncorrected) ... -0.41 eV per atom
# SG ... P4/mmm, No. 123

***

# Hg2SbI2Cl2 (PBE-GGA, optimized geometry)
data_Hg2SbI2Cl2
_chemical_formula_sum 'Hg2 Sb1 I2 Cl2'
_symmetry_space_group_name_H-M 'P 1'
_symmetry_Int_Tables_number 1
_cell_length_a 4.2763
_cell_length_b 8.4906
_cell_length_c 8.6924
_cell_angle_alpha 114.06
_cell_angle_beta 104.20
_cell_angle_gamma 90.07
loop_
_symmetry_equiv_pos_as_xyz
'x,y,z'
loop_
_atom_site_label
_atom_site_type_symbol
_atom_site_fract_x
_atom_site_fract_y
_atom_site_fract_z
Hg1 Hg 0.1685 0.2848 0.3393
Hg2 Hg 0.8315 0.7152 0.6607
Sb1 Sb 0.0000 0.0000 0.0000
I1 I 0.4424 0.1858 0.8837
I2 I 0.5576 0.8142 0.1163
Cl1 Cl 0.2155 0.6399 0.4291
Cl2 Cl 0.7845 0.3601 0.5709
# E_form (uncorrected) ... -0.33 eV per atom
# SG ... P-1, No. 2

***

# Hg4SbICl2 (PBE-GGA, optimized geometry)
data_Hg4SbICl2
_chemical_formula_sum 'Hg8 Sb2 I2 Cl4'
_symmetry_space_group_name_H-M 'P 1'
_symmetry_Int_Tables_number 1
_cell_length_a 10.6909
_cell_length_b 8.9017
_cell_length_c 7.5971
_cell_angle_alpha 90.00
_cell_angle_beta 90.00
_cell_angle_gamma 90.00
loop_
_symmetry_equiv_pos_as_xyz
'x,y,z'
loop_
_atom_site_label
_atom_site_type_symbol
_atom_site_fract_x
_atom_site_fract_y
_atom_site_fract_z
Hg1 Hg 0.0000 0.0302 0.0000
Hg2 Hg 0.0000 0.7140 0.7437
Hg3 Hg 0.1740 0.3795 0.7851
Hg4 Hg 0.3260 0.6205 0.2851
Hg5 Hg 0.5000 0.2860 0.2437
Hg6 Hg 0.5000 0.9698 0.5000
Hg7 Hg 0.6740 0.6205 0.2851
Hg8 Hg 0.8260 0.3795 0.7851
Sb1 Sb 0.0000 0.1773 0.6868
Sb2 Sb 0.5000 0.8227 0.1868
I1 I 0.0000 0.8620 0.2967
I2 I 0.5000 0.1380 0.7967
Cl1 Cl 0.1787 0.4266 0.3634
Cl2 Cl 0.3213 0.5734 0.8634
Cl3 Cl 0.6787 0.5734 0.8634
Cl4 Cl 0.8213 0.4266 0.3634
# E_form (uncorrected) ... -0.30 eV per atom
# SG ... Pmn2_1, No. 31

***

These records have calculated total energy values of -2.343 -1.973 -1.623 eV/atom, in the order they appear.